[1]
DFT (GGA-PBE) results for a relaxed YAlTl2 crystal.

a b c (Å): 10.566 10.566 10.566
angles (deg): 18.97 18.97 18.97
Element x y z (fractional)
Tl 0.248 0.248 0.248
Tl 0.005 0.005 0.005
Al 0.752 0.752 0.752
Y 0.496 0.496 0.496

Calculated values
* total moment: 0.00 μB/cell
* calculated formation energy: 2.0 kJ/mol of atoms
* DOS(E_F): 3.3 states/eV/f.u.
* E above lowest polymorph: 5.33 kcal/mol of atoms
* E: -14.86 eV for the cell shown


[2]
DFT (GGA-PBE) results for a relaxed Ca2In2Ga crystal.

a b c (Å): 4.602 6.151 10.689
angles (deg): 88.49 77.57 68.03
Element x y z (fractional)
In 0.357 0.174 0.113
In 0.643 0.826 0.887
In 0.902 0.749 0.447
In 0.098 0.251 0.553
Ca 0.674 0.324 0.328
Ca 0.073 0.742 0.113
Ca 0.326 0.676 0.672
Ca 0.927 0.258 0.887
Ga 0.380 0.910 0.330
Ga 0.620 0.090 0.670

Calculated values
* total moment: 0.00 μB/cell
* calculated formation energy: -42.2 kJ/mol of atoms
* DOS(E_F): 2.1 states/eV/f.u.
* E above lowest polymorph: 0.00 kcal/mol of atoms
* E: -29.39 eV for the cell shown


[3]
DFT (GGA-PBE) results for a relaxed Gd2TmZn crystal.

a b c (Å): 3.454 3.454 11.938
angles (deg): 81.68 81.68 60.00
Element x y z (fractional)
Zn 0.000 0.000 0.000
Gd 0.087 0.087 0.740
Gd 0.913 0.913 0.260
Tm 0.500 0.500 0.500

Calculated values
* total moment: 14.80 μB/cell
* calculated formation energy: 24.7 kJ/mol of atoms
* DOS(E_F): 5.3 states/eV/f.u.
* E above lowest polymorph: 9.30 kcal/mol of atoms
* E: -32.88 eV for the cell shown


[4]
DFT (GGA-PBE) results for a relaxed CsTiH10C4O13 crystal.

a b c (Å): 7.298 7.702 11.604
angles (deg): 90.00 90.00 95.14
Element x y z (fractional)
O 0.695 0.830 0.895
O 0.896 0.165 0.940
O 0.104 0.835 0.060
O 0.375 0.143 0.917
O 0.387 0.622 0.250
O 0.104 0.835 0.440
O 0.896 0.165 0.560
O 0.305 0.170 0.105
O 0.721 0.561 0.363
O 0.242 0.521 0.451
O 0.613 0.378 0.750
O 0.471 0.990 0.750
O 0.305 0.170 0.395
O 0.695 0.830 0.605
O 0.242 0.521 0.049
O 0.375 0.143 0.583
O 0.625 0.857 0.417
O 0.625 0.857 0.083
O 0.279 0.439 0.863
O 0.918 0.855 0.250
O 0.758 0.479 0.951
O 0.758 0.479 0.549
O 0.279 0.439 0.637
O 0.082 0.145 0.750
O 0.721 0.561 0.137
O 0.529 0.010 0.250
C 0.722 0.588 0.028
C 0.677 0.771 0.995
C 0.278 0.412 0.972
C 0.278 0.412 0.528
C 0.677 0.771 0.505
C 0.722 0.588 0.472
C 0.323 0.229 0.005
C 0.323 0.229 0.495
H 0.803 0.065 0.937
H 0.536 0.948 0.682
H 0.197 0.935 0.063
H 0.337 0.561 0.321
H 0.464 0.052 0.182
H 0.536 0.948 0.818
H 0.663 0.439 0.821
H 0.197 0.935 0.437
H 0.832 0.272 0.951
H 0.663 0.439 0.679
H 0.005 0.159 0.822
H 0.168 0.728 0.049
H 0.995 0.841 0.178
H 0.803 0.065 0.563
H 0.168 0.728 0.451
H 0.995 0.841 0.322
H 0.005 0.159 0.678
H 0.464 0.052 0.318
H 0.832 0.272 0.549
H 0.337 0.561 0.179
Ti 0.643 0.763 0.250
Ti 0.357 0.237 0.750
Cs 0.050 0.729 0.750
Cs 0.950 0.271 0.250

Calculated values
* total moment: 2.00 μB/cell
* E: -362.49 eV for the cell shown


[5]
DFT (GGA-PBE) results for a relaxed NbCo4 crystal.

a b c (Å): 4.062 5.551 5.551
angles (deg): 90.00 90.00 90.00
Element x y z (fractional)
Co 0.000 0.800 0.500
Co 0.500 0.700 0.000
Co 0.500 0.000 0.300
Co 0.500 0.000 0.700
Co 0.000 0.500 0.800
Co 0.000 0.500 0.200
Co 0.500 0.300 0.000
Co 0.000 0.200 0.500
Nb 0.000 0.000 0.000
Nb 0.500 0.500 0.500

Calculated values
* total moment: 9.14 μB/cell
* calculated formation energy: 9.2 kJ/mol of atoms
* DOS(E_F): 5.2 states/eV/f.u.
* E above lowest polymorph: 0.00 kcal/mol of atoms
* E: -76.04 eV for the cell shown


[6]
DFT (GGA-PBE) results for a relaxed TcPbBr2 crystal.

a b c (Å): 7.190 7.190 7.190
angles (deg): 152.48 139.71 49.48
Element x y z (fractional)
Tc 0.232 0.732 0.500
Pb 0.423 0.423 0.000
Br 0.775 0.275 0.500
Br 0.069 0.069 0.000

Calculated values
* formation energy without anion corrections: 0.303 eV/atom
* total moment: 3.14 μB/cell
* DOS(E_F): 1.3 states/eV/f.u.
* E above lowest polymorph: 6.59 kcal/mol of atoms
* E: -16.21 eV for the cell shown


Question: What is the E in the fourth record?
Answer: -362.49 eV for the cell shown


Question: Look up the total moment of the first one.
Answer: 0.00 μB/cell